1.
Material: SmSi2Pd2
Method: DFT, SCAN
State: PBEsol geometry

Cell: 4.1391 4.1391 5.7537 Å, 111.08 111.08 90.00°
With the nearest neighbours (Å) after each atom.
Element x y z (fractional)
Si: 0.3819 0.3819 0.7638  1 Si 2.34, 4 Pd 2.45
Si: 0.6181 0.6181 0.2362  1 Si 2.34, 4 Pd 2.45
Pd: 0.7500 0.2500 0.5000  4 Si 2.45
Pd: 0.2500 0.7500 0.5000  4 Si 2.45
Sm: 0.0000 0.0000 0.0000  8 Si 3.15, 8 Pd 3.23

## Properties
Energy, eV for the cell shown: -135.1
D(E_F), states/eV/atom: 0.49
Total magnetic moment, μB/atom: 0.0000
Raw formation energy, kJ/mol of atoms: -98.30

---

2.
Material: Sm4Si3Pd4
Method: DFT, SCAN
State: PBEsol geometry

Cell: 5.5170 7.8639 10.7945 Å, 108.10 104.81 90.00°
With the nearest neighbours (Å) after each atom.
Element x y z (fractional)
Sm: 0.2055 0.6048 0.6607  7 Pd 2.99-3.29, 3 Si 3.00-3.08
Sm: 0.4552 0.1048 0.6607  7 Pd 2.99-3.29, 3 Si 3.00-3.08
Sm: 0.5448 0.8952 0.3393  7 Pd 2.99-3.29, 3 Si 3.00-3.08
Sm: 0.7985 0.8322 0.8655  5 Pd 2.97-3.11, 3 Si 2.99-3.15
Sm: 0.0670 0.3322 0.8655  5 Pd 2.97-3.11, 3 Si 2.99-3.15
Sm: 0.2015 0.1678 0.1345  5 Pd 2.97-3.11, 3 Si 2.99-3.15
Sm: 0.9330 0.6678 0.1345  5 Pd 2.97-3.11, 3 Si 2.99-3.15
Sm: 0.7945 0.3952 0.3393  7 Pd 2.99-3.29, 3 Si 3.00-3.08
Si: 0.9535 0.9532 0.6583  4 Pd 2.43-2.54
Si: 0.0465 0.0468 0.3417  4 Pd 2.43-2.54
Si: 0.2951 0.5468 0.3417  4 Pd 2.43-2.54
Si: 0.6565 0.2500 0.0000  4 Pd 2.62
Si: 0.7049 0.4532 0.6583  4 Pd 2.43-2.54
Si: 0.3435 0.7500 0.0000  4 Pd 2.62
Pd: 0.3067 0.9843 0.8695  3 Si 2.54-2.62
Pd: 0.3633 0.3003 0.4487  3 Si 2.43-2.53
Pd: 0.5628 0.4843 0.8695  3 Si 2.54-2.62
Pd: 0.6933 0.0157 0.1305  3 Si 2.54-2.62
Pd: 0.0855 0.8003 0.4487  3 Si 2.43-2.53
Pd: 0.9145 0.1997 0.5513  3 Si 2.43-2.53
Pd: 0.6367 0.6997 0.5513  3 Si 2.43-2.53
Pd: 0.4372 0.5157 0.1305  3 Si 2.54-2.62

## Properties
Energy, eV for the cell shown: -699.3
D(E_F), states/eV/atom: 0.51
Total magnetic moment, μB/atom: 0.0000
Raw formation energy, kJ/mol of atoms: -94.19

---

3.
Material: SmSi2Pd
Method: DFT, SCAN
State: PBEsol geometry

Cell: 4.1471 4.1596 8.6322 Å, 76.06 90.00 90.00°
With the nearest neighbours (Å) after each atom.
Element x y z (fractional)
Si: 0.7500 0.2502 0.4995  4 Pd 2.41
Si: 0.2500 0.7498 0.5005  4 Pd 2.41
Si: 0.2500 0.0352 0.9296  1 Pd 2.38, 2 Si 2.39
Si: 0.7500 0.9648 0.0704  1 Pd 2.38, 2 Si 2.39
Pd: 0.2500 0.1770 0.6460  5 Si 2.38-2.41
Pd: 0.7500 0.8230 0.3540  5 Si 2.38-2.41
Sm: 0.7500 0.6032 0.7937  10 Si 3.11-3.22, 4 Pd 3.19
Sm: 0.2500 0.3968 0.2063  10 Si 3.11-3.22, 4 Pd 3.19

## Properties
Energy, eV for the cell shown: -201.8
D(E_F), states/eV/atom: 0.38
Total magnetic moment, μB/atom: 0.0000
Raw formation energy, kJ/mol of atoms: -88.42

---

4.
Material: SmSiPd2
Method: DFT, SCAN
State: PBEsol geometry

Cell: 5.5499 6.8788 7.3766 Å, 90.00 90.00 90.00°
With the nearest neighbours (Å) after each atom.
Element x y z (fractional)
Si: 0.6454 0.2500 0.1225  6 Pd 2.48-2.60
Si: 0.3546 0.7500 0.8775  6 Pd 2.48-2.60
Si: 0.1454 0.7500 0.3775  6 Pd 2.48-2.60
Si: 0.8546 0.2500 0.6225  6 Pd 2.48-2.60
Pd: 0.9070 0.4475 0.3245  3 Si 2.48-2.60, 1 Pd 2.72
Pd: 0.9070 0.0525 0.3245  3 Si 2.48-2.60, 1 Pd 2.72
Pd: 0.5930 0.4475 0.8245  3 Si 2.48-2.60, 1 Pd 2.72
Pd: 0.0930 0.5525 0.6755  3 Si 2.48-2.60, 1 Pd 2.72
Pd: 0.4070 0.5525 0.1755  3 Si 2.48-2.60, 1 Pd 2.72
Pd: 0.0930 0.9475 0.6755  3 Si 2.48-2.60, 1 Pd 2.72
Pd: 0.5930 0.0525 0.8245  3 Si 2.48-2.60, 1 Pd 2.72
Pd: 0.4070 0.9475 0.1755  3 Si 2.48-2.60, 1 Pd 2.72
Sm: 0.8577 0.7500 0.0300  8 Pd 2.96-3.22, 3 Si 2.98-3.02
Sm: 0.6423 0.7500 0.5300  8 Pd 2.96-3.22, 3 Si 2.98-3.02
Sm: 0.3577 0.2500 0.4700  8 Pd 2.96-3.22, 3 Si 2.98-3.02
Sm: 0.1423 0.2500 0.9700  8 Pd 2.96-3.22, 3 Si 2.98-3.02

## Properties
Energy, eV for the cell shown: -496.4
D(E_F), states/eV/atom: 0.36
Total magnetic moment, μB/atom: 0.0000
Raw formation energy, kJ/mol of atoms: -98.75

---

5.
Material: SmSiPd
Method: DFT, SCAN
State: PBEsol geometry

Cell: 4.3272 7.0937 7.4268 Å, 90.00 90.00 90.00°
With the nearest neighbours (Å) after each atom.
Element x y z (fractional)
Si: 0.7500 0.1913 0.0889  4 Pd 2.51-2.70
Si: 0.7500 0.6913 0.4111  4 Pd 2.51-2.70
Si: 0.2500 0.8087 0.9111  4 Pd 2.51-2.70
Si: 0.2500 0.3087 0.5889  4 Pd 2.51-2.70
Pd: 0.7500 0.3106 0.4167  4 Si 2.51-2.70
Pd: 0.7500 0.8106 0.0833  4 Si 2.51-2.70
Pd: 0.2500 0.1894 0.9167  4 Si 2.51-2.70
Pd: 0.2500 0.6894 0.5833  4 Si 2.51-2.70
Sm: 0.2500 0.4962 0.1986  6 Pd 3.01-3.22, 6 Si 3.01-3.19
Sm: 0.7500 0.0038 0.6986  6 Pd 3.01-3.22, 6 Si 3.01-3.19
Sm: 0.2500 0.9962 0.3014  6 Pd 3.01-3.22, 6 Si 3.01-3.19
Sm: 0.7500 0.5038 0.8014  6 Pd 3.01-3.22, 6 Si 3.01-3.19

## Properties
Energy, eV for the cell shown: -361.0
D(E_F), states/eV/atom: 0.58
Total magnetic moment, μB/atom: 0.0000
Raw formation energy, kJ/mol of atoms: -97.03

---

6.
Material: Sm2Si5Pd3
Method: DFT, SCAN
State: PBEsol geometry

Cell: 5.9066 8.1597 8.1597 Å, 74.44 68.78 68.78°
With the nearest neighbours (Å) after each atom.
Element x y z (fractional)
Sm: 0.8711 0.3625 0.8953  10 Si 3.02-3.22, 6 Pd 3.11-3.36
Sm: 0.1289 0.6375 0.1047  10 Si 3.02-3.22, 6 Pd 3.11-3.36
Sm: 0.3711 0.8953 0.3625  10 Si 3.02-3.22, 6 Pd 3.11-3.36
Sm: 0.6289 0.1047 0.6375  10 Si 3.02-3.22, 6 Pd 3.11-3.36
Si: 0.0246 0.7254 0.7254  3 Pd 2.42-2.61, 2 Si 2.48
Si: 0.9754 0.2746 0.2746  3 Pd 2.42-2.61, 2 Si 2.48
Si: 0.4754 0.2746 0.2746  3 Pd 2.42-2.61, 2 Si 2.48
Si: 0.5246 0.7254 0.7254  3 Pd 2.42-2.61, 2 Si 2.48
Si: 0.6129 0.5393 0.2350  3 Pd 2.37-2.48, 2 Si 2.48
Si: 0.3871 0.4607 0.7650  3 Pd 2.37-2.48, 2 Si 2.48
Si: 0.1129 0.2350 0.5393  3 Pd 2.37-2.48, 2 Si 2.48
Si: 0.8871 0.7650 0.4607  3 Pd 2.37-2.48, 2 Si 2.48
Si: 0.7500 0.0000 0.0000  4 Pd 2.43
Si: 0.2500 0.0000 0.0000  4 Pd 2.43
Pd: 0.6378 0.7529 0.9716  5 Si 2.37-2.43
Pd: 0.3622 0.2471 0.0284  5 Si 2.37-2.43
Pd: 0.1378 0.9716 0.7529  5 Si 2.37-2.43
Pd: 0.8622 0.0284 0.2471  5 Si 2.37-2.43
Pd: 0.7500 0.5000 0.5000  6 Si 2.48-2.61
Pd: 0.2500 0.5000 0.5000  6 Si 2.48-2.61

## Properties
Energy, eV for the cell shown: -492.6
D(E_F), states/eV/atom: 0.23
Total magnetic moment, μB/atom: 0.0000
Raw formation energy, kJ/mol of atoms: -87.05